A.
This record from the Alexandria database describes a geometry-optimized CaP2AuO structure. The functional is PBE.

a b c (Å): 5.327 5.327 4.101
angles (deg): 90.00 90.00 90.00
Space group P4/mmm (No. 123)
Unique sites:
Ca  0.000  0.000  0.000 x1
P  0.000  0.500  0.000 x2
Au  0.500  0.500  0.500 x1
O  0.000  0.000  0.500 x1

Summary:
Fermi-level density of states: 1.10 states/eV per atom
Total moment: 1.2 Bohr magnetons per cell

B.
This record from the Alexandria database describes a geometry-optimized CaP2AuO structure. The functional is PBE.

a b c (Å): 4.911 4.911 4.165
angles (deg): 90.00 90.00 90.00
Space group P4/mmm (No. 123)
Unique sites:
Ca  0.000  0.000  0.000 x1
P  0.000  0.500  0.500 x2
Au  0.500  0.500  0.500 x1
O  0.500  0.500  0.000 x1

Summary:
Fermi-level density of states: 0.98 states/eV per atom
Total moment: 0.5 Bohr magnetons per cell

Result of the stability comparison: A is the least stable of them.

A.
This record from the Alexandria database describes a geometry-optimized CaOsAu2 structure. The functional is PBE.

a b c (Å): 2.777 4.295 6.224
angles (deg): 90.00 90.21 90.00
Space group P2/m (No. 10)
Unique sites:
Ca  0.000  0.000  0.000 x1
Os  0.000  0.000  0.500 x1
Au  0.500  0.500  0.276 x2

Summary:
Fermi-level density of states: 0.61 states/eV per atom
Total moment: 0.0 Bohr magnetons per cell

B.
This record from the Alexandria database describes a geometry-optimized CaOsAu2 structure. The functional is PBE.

a b c (Å): 4.103 4.103 8.938
angles (deg): 90.00 90.00 90.00
Space group I-4m2 (No. 119)
Unique sites:
Ca  0.000  0.000  0.000 x2
Os  0.000  0.500  0.750 x2
Au  0.000  0.000  0.500 x2
Au  0.000  0.500  0.250 x2

Summary:
Fermi-level density of states: 1.29 states/eV per atom
Total moment: 2.4 Bohr magnetons per cell

Result of the stability comparison: B is the least stable of them.

A.
This record from the Alexandria database describes a geometry-optimized CaOsAu2 structure. The functional is PBE.

a b c (Å): 9.922 2.789 5.479
angles (deg): 90.00 98.80 90.00
Space group C2/m (No. 12)
Unique sites:
Ca  0.000  0.000  0.000 x2
Os  0.000  0.500  0.500 x2
Au  0.236  0.000  0.729 x4

Summary:
Fermi-level density of states: 0.90 states/eV per atom
Total moment: 0.0 Bohr magnetons per cell

B.
This record from the Alexandria database describes a geometry-optimized CaOsAu2 structure. The functional is PBE.

a b c (Å): 10.591 3.006 5.071
angles (deg): 90.00 113.55 90.00
Space group Cm (No. 8)
Unique sites:
Ca  0.000  0.000  0.000 x2
Os  0.251  0.500  0.422 x2
Au  0.242  0.000  0.886 x2
Au  0.484  0.000  0.476 x2

Summary:
Fermi-level density of states: 0.50 states/eV per atom
Total moment: 0.0 Bohr magnetons per cell

C.
This record from the Alexandria database describes a geometry-optimized CaOsAu2 structure. The functional is PBE.

a b c (Å): 6.739 6.739 6.739
angles (deg): 90.00 90.00 90.00
Space group Fm-3m (No. 225)
Unique sites:
Ca  0.000  0.000  0.000 x4
Os  0.000  0.000  0.500 x4
Au  0.250  0.250  0.250 x8

Summary:
Fermi-level density of states: 1.90 states/eV per atom
Total moment: 4.5 Bohr magnetons per cell

Result of the stability comparison: C is the least stable of them.